This record from the Alexandria database describes crystalline Er12RhAu6 at its relaxed geometry. The functional is PBE.

Cell lengths 8.267, 8.267, 8.267 Å; angles 98.55, 98.55, 98.55 degrees
Fractional coordinates of all 19 atoms:
Er1 0.039 0.932 0.682
Er2 0.068 0.318 0.961
Er3 0.183 0.578 0.428
Er4 0.318 0.961 0.068
Er5 0.422 0.572 0.817
Er6 0.428 0.183 0.578
Er7 0.572 0.817 0.422
Er8 0.578 0.428 0.183
Er9 0.682 0.039 0.932
Er10 0.817 0.422 0.572
Er11 0.932 0.682 0.039
Er12 0.961 0.068 0.318
Rh1 0.000 0.000 0.000
Au1 0.131 0.304 0.622
Au2 0.304 0.622 0.131
Au3 0.378 0.869 0.696
Au4 0.622 0.131 0.304
Au5 0.696 0.378 0.869
Au6 0.869 0.696 0.378

Formation energy (eV per atom): -0.531
Calculated total energy (Ha/atom): -0.1777
Space group: R-3, No. 148